{"formula": "CuIr2Pb", "functional": "SCAN", "state": "PBEsol geometry", "e_form_ev_per_atom": 0.506, "spacegroup": "P4/mmm, No. 123", "e_tot_ev_per_cell": -231.15, "n_ef_per_ev_fu": 4.85, "lattice_angstrom": [[3.858, 0.000, 0.000], [0.000, 4.010, 0.000], [0.000, 0.000, 4.010]], "species": ["Cu", "Pb", "Ir", "Ir"], "fractional_positions": [[0.500, 0.000, 0.000], [0.500, 0.500, 0.500], [0.000, 0.500, 0.000], [0.000, 0.000, 0.500]]}

---

{"formula": "CuIr2Pb", "functional": "SCAN", "state": "PBEsol geometry", "e_form_ev_per_atom": 0.513, "spacegroup": "Fm-3m, No. 225", "e_tot_ev_per_cell": -231.13, "n_ef_per_ev_fu": 1.39, "lattice_angstrom": [[-1.614, 3.807, 1.613], [-1.089, 0.308, 4.292], [2.465, 2.470, 2.743]], "species": ["Pb", "Cu", "Ir", "Ir"], "fractional_positions": [[0.500, 0.500, 0.500], [0.000, 0.000, 0.000], [0.250, 0.250, 0.250], [0.750, 0.750, 0.750]]}

---

{"formula": "CuIr2Pb", "functional": "SCAN", "state": "PBEsol geometry", "e_form_ev_per_atom": 0.557, "spacegroup": "P4/mmm, No. 123", "e_tot_ev_per_cell": -230.95, "n_ef_per_ev_fu": 1.79, "lattice_angstrom": [[3.187, 0.000, 0.000], [0.000, 3.186, 0.000], [0.000, 0.000, 6.107]], "species": ["Pb", "Cu", "Ir", "Ir"], "fractional_positions": [[0.500, 0.500, 0.000], [0.500, 0.500, 0.500], [0.000, 0.000, 0.278], [0.000, 0.000, 0.722]]}

---

{"formula": "CuIrPb2", "functional": "SCAN", "state": "PBEsol geometry", "e_form_ev_per_atom": 0.531, "spacegroup": "Immm, No. 71", "e_tot_ev_per_cell": -235.74, "n_ef_per_ev_fu": 2.10, "lattice_angstrom": [[-4.538, 0.000, 1.419], [-1.617, -3.502, 2.792], [-1.066, 0.889, 4.555]], "species": ["Ir", "Pb", "Pb", "Cu"], "fractional_positions": [[0.000, 0.500, 0.500], [0.750, 0.250, 0.250], [0.250, 0.750, 0.750], [0.500, 0.000, 0.000]]}

---

{"formula": "CuIrPb2", "functional": "SCAN", "state": "PBEsol geometry", "e_form_ev_per_atom": 0.289, "spacegroup": "P4mm, No. 99", "e_tot_ev_per_cell": -236.70, "n_ef_per_ev_fu": 2.05, "lattice_angstrom": [[-2.249, -1.986, -1.140], [2.079, -1.100, -2.186], [2.404, -5.670, 5.138]], "species": ["Pb", "Pb", "Ir", "Cu"], "fractional_positions": [[0.000, 0.000, 0.927], [0.500, 0.500, 0.328], [0.500, 0.500, 0.703], [0.000, 0.000, 0.542]]}

---

{"formula": "CuIr2Pb", "functional": "SCAN", "state": "PBEsol geometry", "e_form_ev_per_atom": 0.469, "spacegroup": "Cm, No. 8", "e_tot_ev_per_cell": -231.30, "n_ef_per_ev_fu": 2.60, "lattice_angstrom": [[2.922, 0.000, 0.000], [-1.461, 4.292, -0.007], [0.000, -0.847, 5.221]], "species": ["Ir", "Ir", "Cu", "Pb"], "fractional_positions": [[0.259, 0.518, 0.802], [0.000, 0.999, 0.003], [0.741, 0.481, 0.207], [0.501, 0.001, 0.489]]}